(1)
A relaxed Pr3TaO7 crystal. Source: Alexandria, functional PBE.

Cell: 11.1053 7.6114 7.7694 Å, 90.00 90.00 90.00°
Space group Cmcm (No. 63)
One atom of each set of equivalent atoms:
Pr 0.0000 0.0000 0.0000 (multiplicity 4)
Pr 0.2267 0.2946 0.2500 (multiplicity 8)
Ta 0.0000 0.5000 0.0000 (multiplicity 4)
O 0.0000 0.4350 0.2500 (multiplicity 4)
O 0.1256 0.3134 0.5330 (multiplicity 16)
O 0.1312 0.0220 0.2500 (multiplicity 8)

Values from the calculation:
Raw total energy, eV/cell: -387.7
DOS(E_F), states/eV/f.u.: 0.00
Raw formation energy, meV per atom: -3274
Relative energy among the computed polymorphs, meV per atom: 7


(2)
A relaxed MgGe5 crystal. Source: Alexandria, functional PBE.

Cell: 11.3603 3.8286 6.7319 Å, 90.00 124.09 90.00°
Space group Cm (No. 8)
One atom of each set of equivalent atoms:
Mg 0.0000 0.0000 0.0000 (multiplicity 2)
Ge 0.1075 0.0000 0.7074 (multiplicity 2)
Ge 0.1871 0.5000 0.3536 (multiplicity 2)
Ge 0.2582 0.5000 0.0471 (multiplicity 2)
Ge 0.3138 0.0000 0.6470 (multiplicity 2)
Ge 0.4498 0.0000 0.3489 (multiplicity 2)

Values from the calculation:
Raw total energy, eV/cell: -47.7
DOS(E_F), states/eV/f.u.: 2.84
Relative energy among the computed polymorphs, meV per atom: 0


(3)
A relaxed La2NdSm3Ho6 crystal. Source: Alexandria, functional PBE.

Cell: 6.2574 10.8373 11.8216 Å, 90.00 100.13 90.00°
Space group C2/m (No. 12)
One atom of each set of equivalent atoms:
La 0.0000 0.1668 0.0000 (multiplicity 4)
Nd 0.0000 0.5000 0.0000 (multiplicity 2)
Sm 0.0000 0.0000 0.5000 (multiplicity 2)
Sm 0.0000 0.3335 0.5000 (multiplicity 4)
Ho 0.2481 0.5000 0.7473 (multiplicity 4)
Ho 0.2489 0.1664 0.7472 (multiplicity 8)

Values from the calculation:
Raw total energy, eV/cell: -112.1
DOS(E_F), states/eV/f.u.: 14.01


(4)
A relaxed La2NiSe crystal. Source: Alexandria, functional PBE.

Cell: 4.2241 4.2241 6.1439 Å, 90.00 90.00 90.00°
Space group P4mm (No. 99)
One atom of each set of equivalent atoms:
La 0.0000 0.0000 0.0000 (multiplicity 1)
La 0.5000 0.5000 0.5002 (multiplicity 1)
Ni 0.0000 0.0000 0.5009 (multiplicity 1)
Se 0.5000 0.5000 0.0000 (multiplicity 1)

Values from the calculation:
Raw total energy, eV/cell: -23.2
DOS(E_F), states/eV/f.u.: 4.98
Raw formation energy, meV per atom: -1023


- Look up the raw total energy of the fourth one.
  -23.2 eV/cell


- The highest raw total energy belongs to which entry?
  La2NiSe


- raw total energy of number 1 (Pr3TaO7)?
  -387.7 eV/cell